## Li2MnAsO6 (PBE with a Hubbard U)

Data for an optimized crystal structure of Li2MnAsO6.

Cell: 5.179 5.179 5.179 Å, 57.48 57.48 57.48°
Element x y z (fractional)
Li  0.000  0.000  0.000
Li  0.496  0.496  0.496
Mn  0.213  0.213  0.213
As  0.715  0.715  0.715
O  0.077  0.453  0.830
O  0.347  0.940  0.586
O  0.453  0.830  0.077
O  0.586  0.347  0.940
O  0.830  0.077  0.453
O  0.940  0.586  0.347

Summary:
- E: -5.9111 eV/atom
- SG: R3, No. 146
- Magnetization: 2.0 μB/cell